[1]
! PC3 (PBE, optimized geometry); values from VASP
&SYSTEM
  ibrav = 0, nat = 8, ntyp = 2
/
ATOMIC_SPECIES
P 30.97 P.upf
C 12.01 C.upf
CELL_PARAMETERS angstrom
13.205 0.067 -1.517
12.669 3.566 -1.860
-12.736 -1.614 3.444
ATOMIC_POSITIONS crystal
P 0.627 0.627 0.000
P 0.373 0.373 0.000
C 0.000 0.500 0.500
C 0.500 0.000 0.500
C 0.750 0.250 0.500
C 0.250 0.750 0.500
C 0.874 0.874 0.000
C 0.126 0.126 0.000
! Calculated density (g/cm3): 2.67
! Energy relative to the lowest polymorph listed for this composition (meV per atom): 1516.9
! Energy relative to the elements (eV per atom): 2.1599



[2]
! PC3 (PBE, optimized geometry); values from VASP
&SYSTEM
  ibrav = 0, nat = 4, ntyp = 2
/
ATOMIC_SPECIES
P 30.97 P.upf
C 12.01 C.upf
CELL_PARAMETERS angstrom
2.793 0.002 0.014
0.905 4.037 0.006
1.255 0.316 5.099
ATOMIC_POSITIONS crystal
P 0.434 0.048 0.006
C 0.000 0.502 0.658
C 0.627 0.722 0.794
C 0.490 0.405 0.739
! Calculated density (g/cm3): 1.94
! Energy relative to the lowest polymorph listed for this composition (meV per atom): 503.9
! Energy relative to the elements (eV per atom): 1.1469



[3]
! PC2 (PBE, optimized geometry); values from VASP
&SYSTEM
  ibrav = 0, nat = 6, ntyp = 2
/
ATOMIC_SPECIES
P 30.97 P.upf
C 12.01 C.upf
CELL_PARAMETERS angstrom
1.981 -3.861 0.000
1.981 3.861 0.000
0.000 0.000 4.034
ATOMIC_POSITIONS crystal
P 0.293 0.707 0.750
P 0.707 0.293 0.250
C 0.702 0.298 0.750
C 0.518 0.482 0.750
C 0.298 0.702 0.250
C 0.482 0.518 0.250
! Calculated density (g/cm3): 2.96
! Energy relative to the lowest polymorph listed for this composition (meV per atom): 1244.0
! Energy relative to the elements (eV per atom): 1.4737



[4]
! PC2 (PBE, optimized geometry); values from VASP
&SYSTEM
  ibrav = 0, nat = 6, ntyp = 2
/
ATOMIC_SPECIES
P 30.97 P.upf
C 12.01 C.upf
CELL_PARAMETERS angstrom
2.080 -3.603 0.000
2.080 3.603 0.000
0.000 0.000 3.556
ATOMIC_POSITIONS crystal
P 0.667 0.333 0.250
P 0.333 0.667 0.750
C 0.000 0.000 0.000
C 0.000 0.000 0.500
C 0.333 0.667 0.250
C 0.667 0.333 0.750
! Calculated density (g/cm3): 3.43
! Energy relative to the lowest polymorph listed for this composition (meV per atom): 2500.7
! Energy relative to the elements (eV per atom): 2.7304